# 1
Density functional theory data (PBE) for PmHoTm4 after structural relaxation.

- volume (Å³/cell) = 787.8
- relative energy among the computed polymorphs (meV per atom) = 276
- energy of formation (kJ per mole of atoms) = 27.2
- calculated total energy (eV per atom) = -4.254

a b c (Å): 9.236 9.236 9.236
angles (deg): 90.00 90.00 90.00
Space group F-43m (No. 216)
Unique sites:
Pm  0.000  0.000  0.000 (multiplicity 4)
Ho  0.250  0.250  0.250 (multiplicity 4)
Tm  0.125  0.125  0.625 (multiplicity 16)

---

# 2
Density functional theory data (PBE) for SrSiPt3 after structural relaxation.

- volume (Å³/cell) = 140.1
- relative energy among the computed polymorphs (meV per atom) = 2544
- ΔE_f (raw) (eV per atom) = 1.730
- calculated total energy (eV per atom) = -3.316

a b c (Å): 5.194 5.194 5.194
angles (deg): 90.00 90.00 90.00
Space group Pm-3m (No. 221)
Unique sites:
Sr  0.000  0.000  0.000 (multiplicity 1)
Si  0.500  0.500  0.500 (multiplicity 1)
Pt  0.000  0.000  0.500 (multiplicity 3)

---

# 3
Density functional theory data (PBE) for PaZnPt after structural relaxation.

- volume (Å³/cell) = 240.4
- energy of formation (kJ per mole of atoms) = -64.6
- calculated total energy (eV per atom) = -6.273

a b c (Å): 4.414 9.878 5.513
angles (deg): 90.00 90.00 90.00
Space group Cmcm (No. 63)
Unique sites:
Pa  0.000  0.199  0.250 (multiplicity 4)
Zn  0.000  0.500  0.000 (multiplicity 4)
Pt  0.000  0.110  0.750 (multiplicity 4)

---

# 4
Density functional theory data (PBE) for Ta3FeS after structural relaxation.

- volume (Å³/cell) = 96.7
- relative energy among the computed polymorphs (meV per atom) = 221
- ΔE_f (raw) (eV per atom) = 0.904
- calculated total energy (eV per atom) = -8.725

a b c (Å): 4.590 4.590 4.590
angles (deg): 90.00 90.00 90.00
Space group Pm-3m (No. 221)
Unique sites:
Ta  0.000  0.000  0.500 (multiplicity 3)
Fe  0.000  0.000  0.000 (multiplicity 1)
S  0.500  0.500  0.500 (multiplicity 1)

---

# 5
Density functional theory data (PBE) for LiSm4Tl7 after structural relaxation.

- volume (Å³/cell) = 734.2
- energy of formation (kJ per mole of atoms) = -15.9
- calculated total energy (eV per atom) = -3.278

a b c (Å): 14.316 5.392 11.411
angles (deg): 90.00 123.54 90.00
Space group C2/m (No. 12)
Unique sites:
Li  0.000  0.000  0.000 (multiplicity 2)
Sm  0.080  0.500  0.781 (multiplicity 4)
Sm  0.221  0.500  0.331 (multiplicity 4)
Tl  0.000  0.500  0.000 (multiplicity 2)
Tl  0.082  0.000  0.314 (multiplicity 4)
Tl  0.130  0.500  0.543 (multiplicity 4)
Tl  0.223  0.000  0.899 (multiplicity 4)

---

# 6
Density functional theory data (PBE) for MnIn2P after structural relaxation.

- volume (Å³/cell) = 79.9
- energy of formation (kJ per mole of atoms) = 33.1
- calculated total energy (eV per atom) = -4.672

a b c (Å): 3.882 4.368 4.711
angles (deg): 90.00 90.00 90.00
Space group Pmmm (No. 47)
Unique sites:
Mn  0.000  0.000  0.000 (multiplicity 1)
In  0.500  0.000  0.500 (multiplicity 1)
In  0.500  0.500  0.000 (multiplicity 1)
P  0.000  0.500  0.500 (multiplicity 1)

---

# 7
Density functional theory data (PBE) for AcMgGaSi after structural relaxation.

- volume (Å³/cell) = 387.9
- ΔE_f (raw) (eV per atom) = -0.227
- calculated total energy (eV per atom) = -3.765

a b c (Å): 7.293 7.293 7.293
angles (deg): 90.00 90.00 90.00
Space group F-43m (No. 216)
Unique sites:
Ac  0.000  0.000  0.000 (multiplicity 4)
Mg  0.000  0.000  0.500 (multiplicity 4)
Ga  0.250  0.250  0.750 (multiplicity 4)
Si  0.250  0.250  0.250 (multiplicity 4)

---

# 8
Density functional theory data (PBE) for PuUFeTc after structural relaxation.

- volume (Å³/cell) = 296.6
- relative energy among the computed polymorphs (meV per atom) = 69
- energy of formation (kJ per mole of atoms) = 10.5
- calculated total energy (eV per atom) = -11.004

a b c (Å): 6.669 6.669 6.669
angles (deg): 90.00 90.00 90.00
Space group F-43m (No. 216)
Unique sites:
Pu  0.000  0.000  0.000 (multiplicity 4)
U  0.000  0.000  0.500 (multiplicity 4)
Fe  0.250  0.250  0.750 (multiplicity 4)
Tc  0.250  0.250  0.250 (multiplicity 4)

---

# 9
Density functional theory data (PBE) for SnBiSbTe after structural relaxation.

- volume (Å³/cell) = 466.9
- relative energy among the computed polymorphs (meV per atom) = 106
- ΔE_f (raw) (eV per atom) = 0.099
- calculated total energy (eV per atom) = -3.688

a b c (Å): 7.758 7.758 7.758
angles (deg): 90.00 90.00 90.00
Space group F-43m (No. 216)
Unique sites:
Sn  0.000  0.000  0.000 (multiplicity 4)
Bi  0.000  0.000  0.500 (multiplicity 4)
Sb  0.250  0.250  0.750 (multiplicity 4)
Te  0.250  0.250  0.250 (multiplicity 4)

---

# 10
Density functional theory data (PBE) for CeTi6S12 after structural relaxation.

- volume (Å³/cell) = 996.5
- ΔE_f (raw) (eV per atom) = -1.013
- calculated total energy (eV per atom) = -6.426

a b c (Å): 12.2123 12.2123 7.7154
angles (deg): 90.00 90.00 120.00
Space group R-3m (No. 166, hexagonal axes)
Unique sites:
Ce  0.0000  0.0000  0.0000 (multiplicity 3)
Ti  0.0297  0.5149  0.2292 (multiplicity 18)
S  0.0000  0.3844  0.5000 (multiplicity 18)
S  0.0876  0.1753  0.3094 (multiplicity 18)